Entry 1:
Density functional theory data (PBE) for a relaxed CdAs3C crystal.

Calculated values
distance to the lowest polymorph of the same formula = 1311 meV/atom
crystal system = cubic
space group = No. 221
size of the total moment = 0.21 Bohr magnetons per cell

a = 5.159 Å, b = 5.159 Å, c = 5.159 Å
α = 90.00°, β = 90.00°, γ = 90.00°
Site moments in Bohr magnetons follow the coordinates.
Atoms (fractional coordinates):
As1 0.000 0.500 0.000  -0.18
As2 0.000 0.000 0.500  -0.23
As3 0.500 0.000 0.000  -0.25
C1 0.500 0.500 0.500  0.77
Cd1 0.000 0.000 0.000  0.01


Entry 2:
Density functional theory data (PBE) for a relaxed Nb2ZnReBr crystal.

Calculated values
crystal system = tetragonal
space group = No. 123
formation energy from raw total energies = 1443.2 meV/atom
size of the total moment = 0.00 Bohr magnetons per cell

a = 4.712 Å, b = 4.578 Å, c = 4.712 Å
α = 90.00°, β = 90.00°, γ = 90.00°
Atoms (fractional coordinates):
Re1 0.000 0.500 0.000
Nb1 0.000 0.000 0.500
Nb2 0.500 0.000 0.000
Zn1 0.500 0.500 0.500
Br1 0.000 0.000 0.000


- The lowest size of the total moment belongs to which entry?
  Nb2ZnReBr


What did the first record say?
Density functional theory data (PBE) for a relaxed CdAs3C crystal.

Calculated values
distance to the lowest polymorph of the same formula = 1311 meV/atom
crystal system = cubic
space group = No. 221
size of the total moment = 0.21 Bohr magnetons per cell

a = 5.159 Å, b = 5.159 Å, c = 5.159 Å
α = 90.00°, β = 90.00°, γ = 90.00°
Site moments in Bohr magnetons follow the coordinates.
Atoms (fractional coordinates):
As1 0.000 0.500 0.000  -0.18
As2 0.000 0.000 0.500  -0.23
As3 0.500 0.000 0.000  -0.25
C1 0.500 0.500 0.500  0.77
Cd1 0.000 0.000 0.000  0.01


Please write out number 2 again, unchanged.
Density functional theory data (PBE) for a relaxed Nb2ZnReBr crystal.

Calculated values
crystal system = tetragonal
space group = No. 123
formation energy from raw total energies = 1443.2 meV/atom
size of the total moment = 0.00 Bohr magnetons per cell

a = 4.712 Å, b = 4.578 Å, c = 4.712 Å
α = 90.00°, β = 90.00°, γ = 90.00°
Atoms (fractional coordinates):
Re1 0.000 0.500 0.000
Nb1 0.000 0.000 0.500
Nb2 0.500 0.000 0.000
Zn1 0.500 0.500 0.500
Br1 0.000 0.000 0.000


Please write out number 2 again, unchanged.
Density functional theory data (PBE) for a relaxed Nb2ZnReBr crystal.

Calculated values
crystal system = tetragonal
space group = No. 123
formation energy from raw total energies = 1443.2 meV/atom
size of the total moment = 0.00 Bohr magnetons per cell

a = 4.712 Å, b = 4.578 Å, c = 4.712 Å
α = 90.00°, β = 90.00°, γ = 90.00°
Atoms (fractional coordinates):
Re1 0.000 0.500 0.000
Nb1 0.000 0.000 0.500
Nb2 0.500 0.000 0.000
Zn1 0.500 0.500 0.500
Br1 0.000 0.000 0.000